{"formula": "CaLa2VO6", "functional": "GGA+U", "state": "optimized geometry", "lattice": [[5.671, 0.000, 0.000], [0.000, 5.903, 0.000], [-5.569, 0.000, 8.232]], "species": ["Ca", "Ca", "La", "La", "La", "La", "V", "V", "O", "O", "O", "O", "O", "O", "O", "O", "O", "O", "O", "O"], "fractional_positions": [[0.000, 0.000, 0.000], [0.000, 0.500, 0.500], [0.262, 0.054, 0.749], [0.262, 0.446, 0.249], [0.738, 0.554, 0.751], [0.738, 0.946, 0.251], [0.500, 0.000, 0.500], [0.500, 0.500, 0.000], [0.158, 0.047, 0.270], [0.158, 0.453, 0.770], [0.275, 0.677, 0.049], [0.275, 0.823, 0.549], [0.387, 0.218, 0.067], [0.387, 0.282, 0.567], [0.613, 0.718, 0.433], [0.613, 0.782, 0.933], [0.725, 0.177, 0.451], [0.725, 0.323, 0.951], [0.842, 0.547, 0.230], [0.842, 0.953, 0.730]], "sg": "No. 14", "crystal_system": "monoclinic", "vol_a3_per_cell": 275.6, "e_tot_ha_per_atom": -0.290}